# FeSi2Tc

Crystalline FeSi2Tc at its relaxed geometry (PBE, the Alexandria database).

a b c (Å): 4.5686 4.5686 4.1577
angles (deg): 106.94 106.94 36.54
Last column: nearest neighbours and their distance in Å.
Element x y z (fractional)
Fe (0.0000, 0.0000, 0.0000)  7 Si 2.45-2.59, 2 Tc 2.70
Si (0.4967, 0.4967, 0.4774)  3 Tc 2.43-2.50, 4 Fe 2.45-2.59, 2 Si 2.68
Si (0.7398, 0.7398, 0.1204)  3 Fe 2.45-2.46, 4 Tc 2.51-2.54, 2 Si 2.68
Tc (0.2449, 0.2449, 0.6201)  7 Si 2.43-2.54, 2 Fe 2.70

Formation energy from raw total energies (meV per atom): -355
DOS(E_F) (states/eV/cell): 3.54
V (Å³ per atom): 12.292